1.
Computed, not measured: an optimized crystal structure of Cd2TcAs at the PBE-GGA level of DFT.

The electronic total energy is -3.743 eV/atom. Its space group is P2/m (10). The value obtained for the formation energy is 468 meV/atom.

a = 2.9348 Å, b = 5.1548 Å, c = 4.9772 Å
α = 90.00°, β = 99.67°, γ = 90.00°
Closest atoms and distances in Å follow each position.
Fractional positions:
1 Cd 0.2260 0.0000 0.2507  4 Cd 2.62-2.93
2 Cd 0.7740 0.0000 0.7493  4 Cd 2.62-2.93
3 Tc 0.5000 0.5000 0.0000  2 As 2.67, 2 Tc 2.93
4 As 0.0000 0.5000 0.5000  2 Tc 2.67, 2 As 2.93, 4 Cd 2.98

2.
Computed, not measured: an optimized crystal structure of Cd2TcAs at the PBE-GGA level of DFT.

The electronic total energy is -4.031 eV/atom. Its space group is Imm2 (44). The value obtained for the formation energy is 181 meV/atom.

a = 6.4132 Å, b = 6.4132 Å, c = 6.4132 Å
α = 152.53°, β = 135.96°, γ = 52.69°
Closest atoms and distances in Å follow each position.
Fractional positions:
1 Cd 0.0000 0.0000 0.0000  2 Tc 2.89, 4 Cd 3.05-3.21, 4 As 3.17
2 Cd 0.6853 0.1853 0.5000  4 Tc 2.87, 2 Cd 3.05
3 Tc 0.2140 0.7140 0.5000  2 As 2.42
4 As 0.3781 0.3781 0.0000  2 Tc 2.42

3.
Computed, not measured: an optimized crystal structure of Cd2TcAs at the PBE-GGA level of DFT.

The electronic total energy is -3.678 eV/atom. Its space group is F-43m (216). The value obtained for the formation energy is 533 meV/atom.

a = 4.7236 Å, b = 4.7236 Å, c = 4.7236 Å
α = 60.00°, β = 60.00°, γ = 60.00°
Closest atoms and distances in Å follow each position.
Fractional positions:
1 Cd 0.0000 0.0000 0.0000  4 Cd 2.89, 4 Tc 2.89
2 Cd 0.2500 0.2500 0.2500  4 Cd 2.89, 4 As 2.89
3 Tc 0.7500 0.7500 0.7500  4 Cd 2.89, 4 As 2.89
4 As 0.5000 0.5000 0.5000  4 Cd 2.89, 4 Tc 2.89

4.
Computed, not measured: an optimized crystal structure of CdTc2As at the PBE-GGA level of DFT.

The electronic total energy is -6.245 eV/atom. Its space group is Immm (71). The value obtained for the formation energy is 330 meV/atom. For the energy above the most stable polymorph in this dataset, the calculation gives 269 meV/atom.

a = 5.2755 Å, b = 5.2755 Å, c = 5.2755 Å
α = 145.84°, β = 126.39°, γ = 65.12°
Closest atoms and distances in Å follow each position.
Fractional positions:
1 Cd 0.0000 0.0000 0.0000  4 As 2.84, 8 Tc 2.97-3.05, 2 Cd 3.10
2 Tc 0.2851 0.7851 0.5000  2 As 2.46
3 Tc 0.7149 0.2149 0.5000  2 As 2.46
4 As 0.5000 0.5000 0.0000  4 Tc 2.46

5.
Computed, not measured: an optimized crystal structure of Cd2TcAs at the PBE-GGA level of DFT.

The electronic total energy is -3.743 eV/atom. Its space group is Pmmm (47). The value obtained for the formation energy is 469 meV/atom.

a = 2.9754 Å, b = 4.6400 Å, c = 5.3759 Å
α = 90.00°, β = 90.00°, γ = 90.00°
Closest atoms and distances in Å follow each position.
Fractional positions:
1 Cd 0.0000 0.0000 0.2446  2 Cd 2.63-2.75
2 Cd 0.0000 0.0000 0.7554  2 Cd 2.63-2.75
3 Tc 0.5000 0.5000 0.0000  2 As 2.69, 2 Tc 2.98
4 As 0.5000 0.5000 0.5000  2 Tc 2.69, 2 As 2.98

6.
Computed, not measured: an optimized crystal structure of Cd2TcAs at the PBE-GGA level of DFT.

The electronic total energy is -3.774 eV/atom. Its space group is P4/mmm (123). The value obtained for the formation energy is 437 meV/atom.

a = 2.8965 Å, b = 2.8965 Å, c = 9.2214 Å
α = 90.00°, β = 90.00°, γ = 90.00°
Closest atoms and distances in Å follow each position.
Fractional positions:
1 Cd 0.0000 0.0000 0.2271  4 Cd 2.90, 4 Tc 2.93
2 Cd 0.0000 0.0000 0.7729  4 Cd 2.90, 4 Tc 2.93
3 Tc 0.5000 0.5000 0.0000  4 Tc 2.90, 8 Cd 2.93
4 As 0.5000 0.5000 0.5000  4 As 2.90

7.
Computed, not measured: an optimized crystal structure of CdTc2As at the PBE-GGA level of DFT.

The electronic total energy is -6.012 eV/atom. Its space group is I-42d (122). The value obtained for the formation energy is 562 meV/atom. For the energy above the most stable polymorph in this dataset, the calculation gives 502 meV/atom.

a = 9.7759 Å, b = 9.7759 Å, c = 9.7759 Å
α = 156.26°, β = 156.26°, γ = 33.82°
Closest atoms and distances in Å follow each position.
Fractional positions:
1 Cd 0.0000 0.0000 0.0000  4 As 2.84, 4 Tc 2.89
2 Cd 0.7500 0.2500 0.5000  4 As 2.84, 4 Tc 2.89
3 Tc 0.2176 0.6250 0.0926  2 Tc 2.38, 2 As 2.62
4 Tc 0.3750 0.4676 0.5926  2 Tc 2.38, 2 As 2.62
5 Tc 0.5324 0.1250 0.9074  2 Tc 2.38, 2 As 2.62
6 Tc 0.8750 0.7824 0.4074  2 Tc 2.38, 2 As 2.62
7 As 0.2500 0.7500 0.5000  4 Tc 2.62, 4 Cd 2.84
8 As 0.5000 0.5000 0.0000  4 Tc 2.62, 4 Cd 2.84

8.
Computed, not measured: an optimized crystal structure of Cd2TcAs at the PBE-GGA level of DFT.

The electronic total energy is -4.106 eV/atom. Its space group is Immm (71). The value obtained for the formation energy is 105 meV/atom.

a = 7.4376 Å, b = 7.4376 Å, c = 7.4376 Å
α = 157.49°, β = 148.58°, γ = 39.00°
Closest atoms and distances in Å follow each position.
Fractional positions:
1 Cd 0.1840 0.1840 0.0000  6 Cd 2.90-3.10, 2 Tc 2.96
2 Cd 0.8160 0.8160 0.0000  6 Cd 2.90-3.10, 2 Tc 2.96
3 Tc 0.0000 0.5000 0.5000  4 As 2.48
4 As 0.5000 0.0000 0.5000  4 Tc 2.48